[1]
Material: Pm6Ir2RhCl3
Method: DFT, PBE
State: relaxed

Lattice parameters (Å, degrees): 7.086 7.086 7.872 98.62 98.62 120.01
Fractional positions:
Pm: 0.932 0.598 0.796
Rh: 0.000 0.000 0.000
Pm: 0.402 0.068 0.204
Cl: 0.167 0.833 0.500
Pm: 0.266 0.266 0.796
Pm: 0.598 0.932 0.796
Cl: 0.500 0.500 0.500
Pm: 0.068 0.402 0.204
Cl: 0.833 0.167 0.500
Ir: 0.333 0.667 0.000
Pm: 0.734 0.734 0.204
Ir: 0.667 0.333 0.000

Symmetry: C2/m
Formation energy from raw total energies in meV per atom: -1197
Uncorrected energy in eV/atom: -6.123


[2]
Material: CaRe2Rh
Method: DFT, PBE
State: relaxed

Lattice parameters (Å, degrees): 3.790 2.870 7.164 68.87 90.00 90.00
Fractional positions:
Re: 0.000 0.978 0.062
Rh: 0.000 0.537 0.462
Re: 0.500 0.185 0.239
Ca: 0.500 0.799 0.737

Formation energy from the elements in eV per atom: 0.2760
Symmetry: Pm
Uncorrected energy in eV/atom: -8.286


[3]
Material: Zr2CrP
Method: DFT, PBE
State: relaxed

Lattice parameters (Å, degrees): 4.787 4.787 4.787 127.22 127.22 77.90
Fractional positions:
Cr: 0.250 0.750 0.500
Zr: 0.000 0.000 0.000
P: 0.750 0.250 0.500
Zr: 0.500 0.500 0.000

Formation energy from the elements in eV per atom: -0.1850
Symmetry: I4/mmm
Uncorrected energy in eV/atom: -8.217